Computed, not measured: a relaxed CaPmSe2 crystal at the PBE level of DFT.

- Spin magnetization: 0.0 μB/f.u.
- ΔE_f (raw): -1.819 eV/atom

Unit cell a=4.0966 b=4.0966 c=21.9998 alpha=90.00 beta=90.00 gamma=120.00
Space group R3m (No. 160, hexagonal axes)
Symmetry-distinct sites (fractional):
Ca: 0.0000 0.0000 0.0000 (multiplicity 3)
Pm: 0.0000 0.0000 0.1732 (multiplicity 3)
Se: 0.0000 0.0000 0.5875 (multiplicity 3)
Se: 0.0000 0.0000 0.7552 (multiplicity 3)